Below is a geometry-optimized PrDy3Cu2 structure, with properties calculated at the PBE-GGA level.

Geometry as CIF:
```
data_PrDy3Cu2
_cell_length_a 3.504
_cell_length_b 3.504
_cell_length_c 12.277
_cell_angle_alpha 90.00
_cell_angle_beta 90.00
_cell_angle_gamma 90.00
_space_group_name_H-M_alt 'P 1'
_space_group_IT_number 1
_space_group_name_Hall 'P 1'
loop_
_atom_site_label
_atom_site_type_symbol
_atom_site_fract_x
_atom_site_fract_y
_atom_site_fract_z
Pr1 Pr 0.000 0.000 0.000
Dy1 Dy 0.500 0.500 0.223
Dy2 Dy 0.500 0.500 0.500
Dy3 Dy 0.500 0.500 0.777
Cu1 Cu 0.000 0.000 0.359
Cu2 Cu 0.000 0.000 0.641
```

* E_form: -154 meV per atom
* density of states at the Fermi level: 0.8780 states/eV/atom

=====

Below is a geometry-optimized PrDyCu structure, with properties calculated at the PBE-GGA level.

Geometry as CIF:
```
data_PrDyCu
_cell_length_a 4.794
_cell_length_b 4.794
_cell_length_c 7.047
_cell_angle_alpha 90.00
_cell_angle_beta 90.00
_cell_angle_gamma 90.00
_space_group_name_H-M_alt 'P 1'
_space_group_IT_number 1
_space_group_name_Hall 'P 1'
loop_
_atom_site_label
_atom_site_type_symbol
_atom_site_fract_x
_atom_site_fract_y
_atom_site_fract_z
Pr1 Pr 0.250 0.250 0.112
Pr2 Pr 0.750 0.750 0.888
Dy1 Dy 0.250 0.750 0.500
Dy2 Dy 0.750 0.250 0.500
Cu1 Cu 0.250 0.250 0.717
Cu2 Cu 0.750 0.750 0.283
```

* E above lowest polymorph: 14 meV per atom
* E_form: -101 meV per atom
* density of states at the Fermi level: 1.0244 states/eV/atom

=====

| no. | total moment (μB per formula unit) |
| --- | --- |
| 1 | 0.00 |
| 2 | 0.00 |